Model a:
# Ni2Br (GGA-PBE, optimized geometry)
# * total magnetization: 0.31 μB per atom
data_Ni2Br
_symmetry_space_group_name_H-M 'P n n m'
_symmetry_Int_Tables_number 58
_cell_length_a 3.495
_cell_length_b 8.204
_cell_length_c 3.296
_cell_angle_alpha 90.00
_cell_angle_beta 90.00
_cell_angle_gamma 90.00
loop_
_symmetry_equiv_pos_as_xyz
'x,y,z'
'-x,-y,-z'
'-x,-y,z'
'x,y,-z'
'x+1/2,-y+1/2,-z+1/2'
'-x+1/2,y+1/2,z+1/2'
'-x+1/2,y+1/2,-z+1/2'
'x+1/2,-y+1/2,z+1/2'
loop_
_atom_site_label
_atom_site_fract_x
_atom_site_fract_y
_atom_site_fract_z
Ni1 0.238 0.216 0.000
Br1 0.000 0.000 0.500

---

Model b:
# Ni2Br (GGA-PBE, optimized geometry)
# * total magnetization: 0.35 μB per atom
data_Ni2Br
_symmetry_space_group_name_H-M 'P 63/m m c'
_symmetry_Int_Tables_number 194
_symmetry_space_group_name_Hall '-P 6c 2c'
_cell_length_a 4.3004
_cell_length_b 4.3004
_cell_length_c 5.3060
_cell_angle_alpha 90.00
_cell_angle_beta 90.00
_cell_angle_gamma 120.00
loop_
_atom_site_label
_atom_site_fract_x
_atom_site_fract_y
_atom_site_fract_z
Ni1 0.0000 0.0000 0.0000
Ni2 0.3333 0.6667 0.2500
Br1 0.3333 0.6667 0.7500

---

Best to worst by energy: model a, model b.

---

Model a:
# NiBr5 (GGA-PBE, optimized geometry)
# * total magnetization: 0.05 μB per atom
data_NiBr5
_symmetry_space_group_name_H-M 'C 1 m 1'
_symmetry_Int_Tables_number 8
_cell_length_a 13.446
_cell_length_b 3.529
_cell_length_c 9.821
_cell_angle_alpha 90.00
_cell_angle_beta 117.34
_cell_angle_gamma 90.00
loop_
_symmetry_equiv_pos_as_xyz
'x,y,z'
'x,-y,z'
'x+1/2,y+1/2,z'
'x+1/2,-y+1/2,z'
loop_
_atom_site_label
_atom_site_fract_x
_atom_site_fract_y
_atom_site_fract_z
Ni1 0.000 0.000 0.000
Br1 0.028 0.000 0.500
Br2 0.115 0.500 0.000
Br3 0.195 0.500 0.501
Br4 0.361 0.000 0.499
Br5 0.385 0.000 0.000

---

Model b:
# NiBr5 (GGA-PBE, optimized geometry)
# * total magnetization: 0.17 μB per atom
data_NiBr5
_symmetry_space_group_name_H-M 'P -6 2 m'
_symmetry_Int_Tables_number 189
_symmetry_space_group_name_Hall 'P -6 -2'
_cell_length_a 5.1144
_cell_length_b 5.1144
_cell_length_c 8.0696
_cell_angle_alpha 90.00
_cell_angle_beta 90.00
_cell_angle_gamma 120.00
loop_
_atom_site_label
_atom_site_fract_x
_atom_site_fract_y
_atom_site_fract_z
Ni1 0.0000 0.0000 0.0000
Br1 0.0000 0.6794 0.5000
Br2 0.3333 0.6667 0.0000

---

Best to worst by energy: model a, model b.